DFT (PBE) results for a relaxed Sr2Ga4SnPd3 crystal.

The structure in POSCAR format:
```
Sr2Ga4SnPd3
1.0
4.3919 0.0000 0.0000
0.0000 4.3919 0.0000
0.0000 0.0000 11.0807
Sr Ga Sn Pd
2 4 1 3
direct
0.5000 0.0000 0.2421 Sr
0.0000 0.5000 0.7579 Sr
0.5000 0.5000 0.0000 Ga
0.0000 0.0000 0.0000 Ga
0.5000 0.0000 0.6485 Ga
0.0000 0.5000 0.3515 Ga
0.5000 0.5000 0.5000 Sn
0.0000 0.0000 0.5000 Pd
0.5000 0.0000 0.8781 Pd
0.0000 0.5000 0.1219 Pd
```

Calculated values
Energy ... -41.51 eV for the cell shown
ΔE_f ... -623 kJ/mol of formula units
DOS(E_F) ... 0.40 states/eV/atom